Record 1
This record from Alexandria describes crystalline ZrAg3Ir at its relaxed geometry. The functional is PBE.

a b c (Å): 4.953 4.953 4.953
angles (deg): 90.00 90.00 90.00
Fractional positions:
Ag 0.000 0.000 0.500
Ag 0.500 0.000 0.000
Ag 0.000 0.500 0.000
Zr 0.500 0.500 0.500
Ir 0.000 0.000 0.000

Magnetic moment: 0.000 μB per atom
Distance to the lowest polymorph of the same formula: 0.0 meV/atom
Final energy: -19.9 eV for the cell shown
V: 121.5 Å³/f.u.
Fermi-level density of states: 1.576 states/eV per atom


Record 2
This record from Alexandria describes crystalline Na6ClO2 at its relaxed geometry. The functional is PBE.

a b c (Å): 4.458 6.575 7.948
angles (deg): 71.89 73.71 70.18
Fractional positions:
O 0.830 0.256 0.084
O 0.170 0.744 0.916
Na 0.975 0.874 0.176
Na 0.708 0.645 0.938
Na 0.025 0.126 0.824
Na 0.324 0.725 0.626
Na 0.292 0.355 0.062
Na 0.676 0.275 0.374
Cl 0.000 0.500 0.500

Magnetic moment: 0.000 μB per atom
Final energy: -29.9 eV for the cell shown
V: 204.3 Å³/f.u.
Formation energy from raw total energies: -1.14 eV per atom
Fermi-level density of states: 0.170 states/eV per atom


Record 3
This record from Alexandria describes crystalline KMgSnF5 at its relaxed geometry. The functional is PBE.

a b c (Å): 6.402 6.402 8.346
angles (deg): 108.38 108.38 103.41
Fractional positions:
F 0.716 0.096 0.455
F 0.347 0.218 0.128
F 0.218 0.347 0.628
F 0.904 0.284 0.045
F 0.284 0.904 0.545
F 0.653 0.782 0.872
F 0.782 0.653 0.372
F 0.096 0.716 0.955
F 0.009 0.991 0.750
F 0.991 0.009 0.250
K 0.668 0.332 0.750
K 0.332 0.668 0.250
Sn 0.272 0.728 0.750
Sn 0.728 0.272 0.250
Mg 0.000 0.000 0.500
Mg 0.000 0.000 0.000

Magnetic moment: 0.000 μB per atom
Final energy: -77.4 eV for the cell shown
V: 143.2 Å³/f.u.
Formation energy from raw total energies: -2.83 eV per atom
Fermi-level density of states: 0.000 states/eV per atom


Record 4
This record from Alexandria describes crystalline Sr2SmCd3 at its relaxed geometry. The functional is PBE.

a b c (Å): 3.948 3.948 12.054
angles (deg): 90.00 90.00 90.00
Fractional positions:
Sm 0.500 0.500 0.500
Sr 0.500 0.500 0.174
Sr 0.500 0.500 0.826
Cd 0.000 0.000 0.353
Cd 0.000 0.000 0.647
Cd 0.000 0.000 0.000

Magnetic moment: 0.011 μB per atom
Distance to the lowest polymorph of the same formula: 0.0 meV/atom
Final energy: -12.8 eV for the cell shown
V: 187.9 Å³/f.u.
Fermi-level density of states: 0.916 states/eV per atom


Record 5
This record from Alexandria describes crystalline TbHo2Hg at its relaxed geometry. The functional is PBE.

a b c (Å): 3.593 3.593 10.739
angles (deg): 80.37 80.37 60.00
Fractional positions:
Tb 0.500 0.500 0.500
Ho 0.743 0.743 0.772
Ho 0.257 0.257 0.228
Hg 0.000 0.000 0.000

Magnetic moment: 0.000 μB per atom
Distance to the lowest polymorph of the same formula: 70.6 meV/atom
Final energy: -14.7 eV for the cell shown
V: 117.8 Å³/f.u.
Fermi-level density of states: 0.848 states/eV per atom


Record 6
This record from Alexandria describes crystalline Ce3Co7Cu2 at its relaxed geometry. The functional is PBE.

a b c (Å): 4.951 4.951 8.756
angles (deg): 73.58 73.58 60.00
Fractional positions:
Co 0.417 0.417 0.248
Co 0.583 0.583 0.752
Co 0.919 0.417 0.248
Co 0.417 0.919 0.248
Co 0.583 0.081 0.752
Co 0.081 0.583 0.752
Co 0.500 0.500 0.500
Cu 0.666 0.666 0.001
Cu 0.334 0.334 0.999
Ce 0.862 0.862 0.413
Ce 0.000 0.000 0.000
Ce 0.138 0.138 0.587

Magnetic moment: 0.306 μB per atom
Final energy: -77.7 eV for the cell shown
V: 175.7 Å³/f.u.
Fermi-level density of states: 1.228 states/eV per atom


Record 7
This record from Alexandria describes crystalline La2Y at its relaxed geometry. The functional is PBE.

a b c (Å): 3.680 3.680 9.334
angles (deg): 78.63 78.63 60.00
Fractional positions:
Y 0.000 0.000 0.000
La 0.225 0.225 0.325
La 0.775 0.775 0.675

Magnetic moment: 0.000 μB per atom
Distance to the lowest polymorph of the same formula: 15.3 meV/atom
Final energy: -16.2 eV for the cell shown
V: 106.6 Å³/f.u.
Fermi-level density of states: 1.531 states/eV per atom


Record 8
This record from Alexandria describes crystalline LaNd4Tm10 at its relaxed geometry. The functional is PBE.

a b c (Å): 6.469 9.680 9.680
angles (deg): 83.59 70.48 70.48
Fractional positions:
Nd 0.568 0.106 0.758
Nd 0.326 0.242 0.106
Nd 0.432 0.894 0.242
Nd 0.674 0.758 0.894
Tm 0.250 0.500 0.500
Tm 0.956 0.163 0.424
Tm 0.381 0.576 0.163
Tm 0.544 0.837 0.576
Tm 0.880 0.576 0.163
Tm 0.456 0.163 0.424
Tm 0.619 0.424 0.837
Tm 0.044 0.837 0.576
Tm 0.750 0.500 0.500
Tm 0.120 0.424 0.837
La 0.000 0.000 0.000

Magnetic moment: 0.000 μB per atom
Final energy: -60.4 eV for the cell shown
V: 538.5 Å³/f.u.
Fermi-level density of states: 1.827 states/eV per atom


Record 9
This record from Alexandria describes crystalline LaC3N at its relaxed geometry. The functional is PBE.

a b c (Å): 4.618 4.618 4.618
angles (deg): 90.00 90.00 90.00
Fractional positions:
C 0.500 0.000 0.000
C 0.000 0.000 0.500
C 0.000 0.500 0.000
La 0.000 0.000 0.000
N 0.500 0.500 0.500

Magnetic moment: 0.356 μB per atom
Distance to the lowest polymorph of the same formula: 1849.7 meV/atom
Final energy: -19.9 eV for the cell shown
V: 98.5 Å³/f.u.
Formation energy from raw total energies: 4.21 eV per atom
Fermi-level density of states: 1.513 states/eV per atom


Record 10
This record from Alexandria describes crystalline Li2MnCl at its relaxed geometry. The functional is PBE.

a b c (Å): 3.265 3.348 6.844
angles (deg): 75.82 90.00 90.00
Fractional positions:
Cl 0.500 0.512 0.852
Li 0.500 0.322 0.231
Li 0.000 0.960 0.957
Mn 0.000 0.707 0.461

Magnetic moment: 1.004 μB per atom
Distance to the lowest polymorph of the same formula: 128.1 meV/atom
Final energy: -16.1 eV for the cell shown
V: 72.5 Å³/f.u.
Formation energy from raw total energies: -0.32 eV per atom
Fermi-level density of states: 0.447 states/eV per atom


Record 11
This record from Alexandria describes crystalline LaAs2 at its relaxed geometry. The functional is PBE.

a b c (Å): 6.968 4.246 10.770
angles (deg): 73.05 90.00 90.00
Fractional positions:
La 0.817 0.910 0.362
La 0.317 0.090 0.138
La 0.683 0.910 0.862
La 0.183 0.090 0.638
As 0.650 0.536 0.172
As 0.123 0.722 0.950
As 0.377 0.722 0.450
As 0.350 0.464 0.828
As 0.877 0.278 0.050
As 0.150 0.464 0.328
As 0.850 0.536 0.672
As 0.623 0.278 0.550

Magnetic moment: 0.000 μB per atom
Final energy: -69.7 eV for the cell shown
V: 76.2 Å³/f.u.
Fermi-level density of states: 0.023 states/eV per atom


Record 12
This record from Alexandria describes crystalline ZrAlSb4 at its relaxed geometry. The functional is PBE.

a b c (Å): 6.113 6.113 6.113
angles (deg): 60.00 60.00 60.00
Fractional positions:
Sb 0.375 0.375 0.874
Sb 0.375 0.874 0.375
Sb 0.375 0.375 0.375
Sb 0.874 0.375 0.375
Zr 0.750 0.750 0.750
Al 0.000 0.000 0.000

Magnetic moment: 0.000 μB per atom
Final energy: -26.1 eV for the cell shown
V: 161.5 Å³/f.u.
Formation energy from raw total energies: 0.44 eV per atom
Fermi-level density of states: 0.894 states/eV per atom